# 1
This record from Alexandria describes a relaxed La3CdNi crystal. The functional is PBEsol.

Properties
formation enthalpy at 0 K = -7 kJ per mole of atoms
DFT total energy = -23.8 eV/cell
symmetry = Pm-3m (221)

abc: 5.339 5.339 5.339
angles: 90.00 90.00 90.00
Atoms (fractional coordinates):
Ni (0.000, 0.000, 0.000)
Cd (0.500, 0.500, 0.500)
La (0.000, 0.500, 0.000)
La (0.000, 0.000, 0.500)
La (0.500, 0.000, 0.000)

***

# 2
This record from Alexandria describes a relaxed La2CdNi2 crystal. The functional is PBEsol.

Properties
formation enthalpy at 0 K = -34 kJ per mole of atoms
DFT total energy = -26.0 eV/cell
symmetry = Cmmm (65)

abc: 3.824 3.965 7.507
angles: 74.69 90.00 90.00
Atoms (fractional coordinates):
Ni (0.000, 0.801, 0.399)
Ni (0.000, 0.199, 0.601)
Cd (0.000, 0.000, 0.000)
La (0.500, 0.638, 0.724)
La (0.500, 0.362, 0.276)

***

# 3
This record from Alexandria describes a relaxed LaCdNi3 crystal. The functional is PBEsol.

Properties
formation enthalpy at 0 K = 108 kJ per mole of atoms
DFT total energy = -19.4 eV/cell
symmetry = Pm-3m (221)

abc: 4.659 4.659 4.659
angles: 90.00 90.00 90.00
Atoms (fractional coordinates):
Ni (0.000, 0.500, 0.000)
Ni (0.000, 0.000, 0.500)
Ni (0.500, 0.000, 0.000)
Cd (0.500, 0.500, 0.500)
La (0.000, 0.000, 0.000)

***

# 4
This record from Alexandria describes a relaxed LaCdNi2 crystal. The functional is PBEsol.

Properties
formation enthalpy at 0 K = 19 kJ per mole of atoms
DFT total energy = -18.1 eV/cell
symmetry = F-43m (216)

abc: 4.728 4.728 4.728
angles: 60.00 60.00 60.00
Atoms (fractional coordinates):
Cd (0.500, 0.500, 0.500)
La (0.250, 0.250, 0.250)
Ni (0.000, 0.000, 0.000)
Ni (0.750, 0.750, 0.750)

***

# 5
This record from Alexandria describes a relaxed LaCdNi2 crystal. The functional is PBEsol.

Properties
formation enthalpy at 0 K = -22 kJ per mole of atoms
DFT total energy = -19.8 eV/cell
symmetry = Amm2 (38)

abc: 3.841 3.866 5.250
angles: 90.00 111.46 90.00
Atoms (fractional coordinates):
Ni (0.194, 0.000, 0.388)
Ni (0.048, 0.500, 0.097)
Cd (0.484, 0.000, 0.969)
La (0.774, 0.500, 0.549)

***

# 6
This record from Alexandria describes a relaxed La4CdNi crystal. The functional is PBEsol.

Properties
formation enthalpy at 0 K = -23 kJ per mole of atoms
DFT total energy = -120.7 eV/cell
symmetry = F-43m (216)

abc: 9.818 9.818 9.818
angles: 60.00 60.00 60.00
Atoms (fractional coordinates):
La (0.403, 0.403, 0.791)
La (0.791, 0.403, 0.403)
La (0.403, 0.403, 0.403)
La (0.403, 0.791, 0.403)
La (0.556, 0.944, 0.944)
La (0.944, 0.556, 0.556)
La (0.556, 0.556, 0.944)
La (0.944, 0.944, 0.556)
La (0.944, 0.556, 0.944)
La (0.556, 0.944, 0.556)
La (0.189, 0.811, 0.811)
La (0.811, 0.189, 0.189)
La (0.189, 0.189, 0.811)
La (0.811, 0.811, 0.189)
La (0.811, 0.189, 0.811)
La (0.189, 0.811, 0.189)
Cd (0.172, 0.172, 0.484)
Cd (0.484, 0.172, 0.172)
Cd (0.172, 0.172, 0.172)
Cd (0.172, 0.484, 0.172)
Ni (0.608, 0.608, 0.175)
Ni (0.175, 0.608, 0.608)
Ni (0.608, 0.608, 0.608)
Ni (0.608, 0.175, 0.608)

***

# 7
This record from Alexandria describes a relaxed La2CdReNi crystal. The functional is PBEsol.

Properties
formation enthalpy at 0 K = 157 kJ per mole of atoms
DFT total energy = -23.2 eV/cell
symmetry = P4/mmm (123)

abc: 4.854 5.686 5.686
angles: 90.00 90.00 90.00
Each line ends with the local moment (μB).
Atoms (fractional coordinates):
Re (0.500, 0.000, 0.000)  1.25
Cd (0.000, 0.000, 0.000)  -0.01
Ni (0.500, 0.500, 0.500)  0.56
La (0.000, 0.000, 0.500)  -0.10
La (0.000, 0.500, 0.000)  -0.10

***

# 8
This record from Alexandria describes a relaxed La2CdO2 crystal. The functional is PBEsol.

Properties
DFT total energy = -34.3 eV/cell
symmetry = I4/mmm (139)
raw formation energy = -2.39 eV/atom

abc: 4.135 4.135 7.084
angles: 106.97 106.97 90.00
Atoms (fractional coordinates):
La (0.339, 0.339, 0.679)
La (0.661, 0.661, 0.321)
O (0.250, 0.750, 0.500)
O (0.750, 0.250, 0.500)
Cd (0.000, 0.000, 0.000)

***

# 9
This record from Alexandria describes a relaxed La2Cd2O5 crystal. The functional is PBEsol.

Properties
DFT total energy = -239.8 eV/cell
symmetry = Pnma (62)
raw formation energy = -2.29 eV/atom

abc: 5.909 6.148 15.795
angles: 90.00 90.00 90.00
Atoms (fractional coordinates):
La (0.491, 0.928, 0.115)
La (0.491, 0.928, 0.385)
La (0.991, 0.572, 0.615)
La (0.991, 0.572, 0.885)
La (0.009, 0.428, 0.115)
La (0.009, 0.428, 0.385)
La (0.509, 0.072, 0.615)
La (0.509, 0.072, 0.885)
Cd (0.000, 0.000, 0.000)
Cd (0.000, 0.000, 0.500)
Cd (0.029, 0.085, 0.750)
Cd (0.529, 0.415, 0.250)
Cd (0.500, 0.500, 0.000)
Cd (0.500, 0.500, 0.500)
Cd (0.471, 0.585, 0.750)
Cd (0.971, 0.915, 0.250)
O (0.128, 0.062, 0.140)
O (0.128, 0.062, 0.360)
O (0.619, 0.065, 0.250)
O (0.176, 0.320, 0.531)
O (0.176, 0.320, 0.969)
O (0.676, 0.180, 0.469)
O (0.676, 0.180, 0.031)
O (0.119, 0.435, 0.750)
O (0.628, 0.438, 0.640)
O (0.628, 0.438, 0.860)
O (0.372, 0.562, 0.140)
O (0.372, 0.562, 0.360)
O (0.881, 0.565, 0.250)
O (0.324, 0.820, 0.969)
O (0.324, 0.820, 0.531)
O (0.824, 0.680, 0.031)
O (0.824, 0.680, 0.469)
O (0.381, 0.935, 0.750)
O (0.872, 0.938, 0.640)
O (0.872, 0.938, 0.860)

***

# 10
This record from Alexandria describes a relaxed LaCdPO2 crystal. The functional is PBEsol.

Properties
DFT total energy = -26.8 eV/cell
symmetry = P4/mmm (123)
raw formation energy = -0.80 eV/atom

abc: 4.261 4.261 4.744
angles: 90.00 90.00 90.00
Atoms (fractional coordinates):
P (0.000, 0.000, 0.500)
Cd (0.000, 0.000, 0.000)
O (0.000, 0.500, 0.000)
O (0.500, 0.000, 0.000)
La (0.500, 0.500, 0.500)

***

# 11
This record from Alexandria describes a relaxed LaCdOs crystal. The functional is PBEsol.

Properties
formation enthalpy at 0 K = 34 kJ per mole of atoms
DFT total energy = -17.7 eV/cell
symmetry = F-43m (216)

abc: 4.694 4.694 4.694
angles: 60.00 60.00 60.00
Atoms (fractional coordinates):
Cd (0.000, 0.000, 0.000)
Os (0.250, 0.250, 0.250)
La (0.500, 0.500, 0.500)

***

# 12
This record from Alexandria describes a relaxed LaCdOsPb2 crystal. The functional is PBEsol.

Properties
formation enthalpy at 0 K = 208 kJ per mole of atoms
DFT total energy = -16.0 eV/cell
symmetry = P4/mmm (123)

abc: 5.674 5.880 5.880
angles: 90.00 90.00 90.00
Each line ends with the local moment (μB).
Atoms (fractional coordinates):
Pb (0.000, 0.000, 0.500)  -0.01
Pb (0.000, 0.500, 0.000)  -0.01
Cd (0.500, 0.000, 0.000)  0.00
Os (0.500, 0.500, 0.500)  2.92
La (0.000, 0.000, 0.000)  0.01

***

# 13
This record from Alexandria describes a relaxed La2CdP crystal. The functional is PBEsol.

Properties
formation enthalpy at 0 K = -8 kJ per mole of atoms
DFT total energy = -18.0 eV/cell
symmetry = F-43m (216)
polymorph energy (0 for the lowest one) = 0.744 eV/atom

abc: 5.142 5.142 5.142
angles: 60.00 60.00 60.00
Atoms (fractional coordinates):
Cd (0.500, 0.500, 0.500)
La (0.000, 0.000, 0.000)
La (0.750, 0.750, 0.750)
P (0.250, 0.250, 0.250)

***

# 14
This record from Alexandria describes a relaxed La2Cd2P crystal. The functional is PBEsol.

Properties
formation enthalpy at 0 K = -49 kJ per mole of atoms
DFT total energy = -21.4 eV/cell
symmetry = I4/mmm (139)

abc: 3.839 3.839 9.336
angles: 101.86 101.86 90.00
Atoms (fractional coordinates):
P (0.000, 0.000, 0.000)
Cd (0.250, 0.750, 0.500)
Cd (0.750, 0.250, 0.500)
La (0.413, 0.413, 0.825)
La (0.587, 0.587, 0.175)

***

# 15
This record from Alexandria describes a relaxed La2CdP crystal. The functional is PBEsol.

Properties
formation enthalpy at 0 K = -80 kJ per mole of atoms
DFT total energy = -21.0 eV/cell
symmetry = R-3m (166)
polymorph energy (0 for the lowest one) = 0.000 eV/atom

abc: 4.151 4.151 8.278
angles: 75.48 75.48 60.00
Atoms (fractional coordinates):
P (0.000, 0.000, 0.000)
La (0.736, 0.736, 0.793)
La (0.264, 0.264, 0.207)
Cd (0.500, 0.500, 0.500)

***

# 16
This record from Alexandria describes a relaxed La2CdP crystal. The functional is PBEsol.

Properties
formation enthalpy at 0 K = -29 kJ per mole of atoms
DFT total energy = -18.9 eV/cell
symmetry = Cmm2 (35)
polymorph energy (0 for the lowest one) = 0.532 eV/atom

abc: 3.591 3.591 8.756
angles: 90.00 90.00 100.87
Atoms (fractional coordinates):
Cd (0.500, 0.500, 0.301)
La (0.000, 0.000, 0.045)
La (0.500, 0.500, 0.671)
P (0.000, 0.000, 0.482)

***

# 17
This record from Alexandria describes a relaxed La2CdP crystal. The functional is PBEsol.

Properties
formation enthalpy at 0 K = -62 kJ per mole of atoms
DFT total energy = -20.3 eV/cell
symmetry = Imm2 (44)
polymorph energy (0 for the lowest one) = 0.186 eV/atom

abc: 3.857 4.865 6.157
angles: 113.27 108.26 90.00
Atoms (fractional coordinates):
Cd (0.207, 0.707, 0.413)
La (0.999, 0.999, 0.998)
La (0.781, 0.281, 0.562)
P (0.513, 0.513, 0.026)

***

# 18
This record from Alexandria describes a relaxed LaCd4P crystal. The functional is PBEsol.

Properties
formation enthalpy at 0 K = 0 kJ per mole of atoms
DFT total energy = -15.9 eV/cell
symmetry = F-43m (216)

abc: 5.791 5.791 5.791
angles: 60.00 60.00 60.00
Atoms (fractional coordinates):
Cd (0.374, 0.374, 0.374)
Cd (0.374, 0.374, 0.877)
Cd (0.877, 0.374, 0.374)
Cd (0.374, 0.877, 0.374)
La (0.750, 0.750, 0.750)
P (0.000, 0.000, 0.000)

***

# 19
This record from Alexandria describes a relaxed LaCdP2S crystal. The functional is PBEsol.

Properties
DFT total energy = -19.7 eV/cell
symmetry = P4/mmm (123)
raw formation energy = 0.57 eV/atom

abc: 5.308 5.391 5.391
angles: 90.00 90.00 90.00
Atoms (fractional coordinates):
P (0.000, 0.000, 0.500)
P (0.000, 0.500, 0.000)
S (0.500, 0.000, 0.000)
Cd (0.500, 0.500, 0.500)
La (0.000, 0.000, 0.000)

***

# 20
This record from Alexandria describes a relaxed LaCdPb2 crystal. The functional is PBEsol.

Properties
formation enthalpy at 0 K = -36 kJ per mole of atoms
DFT total energy = -16.0 eV/cell
symmetry = I-4m2 (119)

abc: 4.624 4.624 6.095
angles: 112.29 112.29 90.00
Atoms (fractional coordinates):
Pb (0.000, 0.000, 0.000)
Pb (0.750, 0.250, 0.500)
La (0.250, 0.750, 0.500)
Cd (0.500, 0.500, 0.000)